No. 1
Crystalline Ba3In2Ag4 at its relaxed geometry. Source: the Alexandria database, functional GGA-PBE.

E   -0.2070 Ry per atom
Formation energy   -2.70 eV per formula unit
Fermi-level density of states   0.68 states/eV per atom
Volume   564.96 Å³/cell

Structure (CIF):
```
data_Ba3In2Ag4
_chemical_formula_sum 'Ba6 In4 Ag8'
_symmetry_space_group_name_H-M 'C 1 2/m 1'
_symmetry_Int_Tables_number 12
_cell_length_a 12.2711
_cell_length_b 5.0743
_cell_length_c 9.6717
_cell_angle_alpha 90.00
_cell_angle_beta 110.26
_cell_angle_gamma 90.00
loop_
_symmetry_equiv_pos_as_xyz
'x,y,z'
'-x,-y,-z'
'-x,y,-z'
'x,-y,z'
'x+1/2,y+1/2,z'
'-x+1/2,-y+1/2,-z'
'-x+1/2,y+1/2,-z'
'x+1/2,-y+1/2,z'
loop_
_atom_site_label
_atom_site_fract_x
_atom_site_fract_y
_atom_site_fract_z
_atom_site_occupancy
Ba1 0.0000 0.0000 0.0000 1
Ba2 0.1386 0.5000 0.6892 1
In1 0.1597 0.5000 0.3271 1
Ag1 0.0976 0.0000 0.4210 1
Ag2 0.2258 0.5000 0.0649 1
```

***

No. 2
Crystalline Ba2In5Ag5 at its relaxed geometry. Source: the Alexandria database, functional GGA-PBE.

E   -0.2101 Ry per atom
Formation energy   -2.51 eV per formula unit
Fermi-level density of states   0.51 states/eV per atom
Volume   314.90 Å³/cell

Structure (CIF):
```
data_Ba2In5Ag5
_chemical_formula_sum 'Ba2 In5 Ag5'
_symmetry_space_group_name_H-M 'P m m m'
_symmetry_Int_Tables_number 47
_cell_length_a 4.7100
_cell_length_b 6.0457
_cell_length_c 11.0587
_cell_angle_alpha 90.00
_cell_angle_beta 90.00
_cell_angle_gamma 90.00
loop_
_symmetry_equiv_pos_as_xyz
'x,y,z'
'-x,-y,-z'
'-x,-y,z'
'x,y,-z'
'x,-y,-z'
'-x,y,z'
'-x,y,-z'
'x,-y,z'
loop_
_atom_site_label
_atom_site_fract_x
_atom_site_fract_y
_atom_site_fract_z
_atom_site_occupancy
Ba1 0.0000 0.0000 0.0000 1
Ba2 0.0000 0.5000 0.5000 1
In1 0.0000 0.0000 0.3171 1
In2 0.0000 0.5000 0.1663 1
In3 0.5000 0.0000 0.5000 1
Ag1 0.5000 0.2492 0.2415 1
Ag2 0.5000 0.5000 0.0000 1
```

***

No. 3
Crystalline BaIn2Ag at its relaxed geometry. Source: the Alexandria database, functional GGA-PBE.

E   -0.1996 Ry per atom
Formation energy   -0.61 eV per formula unit
Fermi-level density of states   0.59 states/eV per atom
Volume   459.10 Å³/cell

Structure (CIF):
```
data_BaIn2Ag
_chemical_formula_sum 'Ba4 In8 Ag4'
_symmetry_space_group_name_H-M 'F m -3 m'
_symmetry_Int_Tables_number 225
_symmetry_space_group_name_Hall '-F 4 2 3'
_cell_length_a 7.7144
_cell_length_b 7.7144
_cell_length_c 7.7144
_cell_angle_alpha 90.00
_cell_angle_beta 90.00
_cell_angle_gamma 90.00
loop_
_atom_site_label
_atom_site_fract_x
_atom_site_fract_y
_atom_site_fract_z
_atom_site_occupancy
Ba1 0.0000 0.0000 0.0000 1
In1 0.2500 0.2500 0.2500 1
Ag1 0.0000 0.0000 0.5000 1
```

***

No. 4
Crystalline Ba3InAg at its relaxed geometry. Source: the Alexandria database, functional GGA-PBE.

Relative energy among the computed polymorphs   1.28 eV per formula unit
E   -0.1673 Ry per atom
Formation energy   -0.02 eV per formula unit
Fermi-level density of states   1.25 states/eV per atom
Volume   256.65 Å³/cell

Structure (CIF):
```
data_Ba3InAg
_chemical_formula_sum 'Ba3 In1 Ag1'
_symmetry_space_group_name_H-M 'P m -3 m'
_symmetry_Int_Tables_number 221
_symmetry_space_group_name_Hall '-P 4 2 3'
_cell_length_a 6.3550
_cell_length_b 6.3550
_cell_length_c 6.3550
_cell_angle_alpha 90.00
_cell_angle_beta 90.00
_cell_angle_gamma 90.00
loop_
_atom_site_label
_atom_site_fract_x
_atom_site_fract_y
_atom_site_fract_z
_atom_site_occupancy
Ba1 0.0000 0.0000 0.5000 1
In1 0.5000 0.5000 0.5000 1
Ag1 0.0000 0.0000 0.0000 1
```

***

No. 5
Crystalline BaInAg at its relaxed geometry. Source: the Alexandria database, functional GGA-PBE.

E   -0.1669 Ry per atom
Formation energy   0.70 eV per formula unit
Fermi-level density of states   1.23 states/eV per atom
Volume   478.97 Å³/cell

Structure (CIF):
```
data_BaInAg
_chemical_formula_sum 'Ba4 In4 Ag4'
_symmetry_space_group_name_H-M 'F -4 3 m'
_symmetry_Int_Tables_number 216
_symmetry_space_group_name_Hall 'F -4 2 3'
_cell_length_a 7.8241
_cell_length_b 7.8241
_cell_length_c 7.8241
_cell_angle_alpha 90.00
_cell_angle_beta 90.00
_cell_angle_gamma 90.00
loop_
_atom_site_label
_atom_site_fract_x
_atom_site_fract_y
_atom_site_fract_z
_atom_site_occupancy
Ba1 0.0000 0.0000 0.0000 1
In1 0.2500 0.2500 0.2500 1
Ag1 0.2500 0.2500 0.7500 1
```

***

No. 6
Crystalline BaInAg2 at its relaxed geometry. Source: the Alexandria database, functional GGA-PBE.

E   -0.1948 Ry per atom
Formation energy   -0.24 eV per formula unit
Fermi-level density of states   0.39 states/eV per atom
Volume   114.87 Å³/cell

Structure (CIF):
```
data_BaInAg2
_chemical_formula_sum 'Ba1 In1 Ag2'
_symmetry_space_group_name_H-M 'P 4/m m m'
_symmetry_Int_Tables_number 123
_symmetry_space_group_name_Hall '-P 4 2'
_cell_length_a 5.1891
_cell_length_b 5.1891
_cell_length_c 4.2658
_cell_angle_alpha 90.00
_cell_angle_beta 90.00
_cell_angle_gamma 90.00
loop_
_atom_site_label
_atom_site_fract_x
_atom_site_fract_y
_atom_site_fract_z
_atom_site_occupancy
Ba1 0.0000 0.0000 0.0000 1
In1 0.5000 0.5000 0.0000 1
Ag1 0.0000 0.5000 0.5000 1
```

***

No. 7
Crystalline BaInAg4 at its relaxed geometry. Source: the Alexandria database, functional GGA-PBE.

Relative energy among the computed polymorphs   0.00 eV per formula unit
E   -0.2088 Ry per atom
Formation energy   -0.98 eV per formula unit
Fermi-level density of states   0.31 states/eV per atom
Volume   564.00 Å³/cell

Structure (CIF):
```
data_BaInAg4
_chemical_formula_sum 'Ba4 In4 Ag16'
_symmetry_space_group_name_H-M 'F -4 3 m'
_symmetry_Int_Tables_number 216
_symmetry_space_group_name_Hall 'F -4 2 3'
_cell_length_a 8.2621
_cell_length_b 8.2621
_cell_length_c 8.2621
_cell_angle_alpha 90.00
_cell_angle_beta 90.00
_cell_angle_gamma 90.00
loop_
_atom_site_label
_atom_site_fract_x
_atom_site_fract_y
_atom_site_fract_z
_atom_site_occupancy
Ba1 0.0000 0.0000 0.0000 1
In1 0.2500 0.2500 0.7500 1
Ag1 0.1237 0.1237 0.3763 1
```

***

No. 8
Crystalline BaInAg at its relaxed geometry. Source: the Alexandria database, functional GGA-PBE.

E   -0.1997 Ry per atom
Formation energy   -0.64 eV per formula unit
Fermi-level density of states   0.40 states/eV per atom
Volume   186.02 Å³/cell

Structure (CIF):
```
data_BaInAg
_chemical_formula_sum 'Ba2 In2 Ag2'
_symmetry_space_group_name_H-M 'I 4 m m'
_symmetry_Int_Tables_number 107
_symmetry_space_group_name_Hall 'I 4 -2'
_cell_length_a 3.9367
_cell_length_b 3.9367
_cell_length_c 12.0031
_cell_angle_alpha 90.00
_cell_angle_beta 90.00
_cell_angle_gamma 90.00
loop_
_atom_site_label
_atom_site_fract_x
_atom_site_fract_y
_atom_site_fract_z
_atom_site_occupancy
Ba1 0.0000 0.0000 0.0000 1
In1 0.0000 0.0000 0.2964 1
Ag1 0.0000 0.0000 0.6989 1
```